[1]
The following is a DFT calculation (meta-GGA SCAN) of a crystal of AgPAuCl2 relaxed with PBEsol.

The structure in POSCAR format:
```
AgPAuCl2
1.0
-0.2971 -3.9564 -2.4849
3.7039 1.3183 -2.5417
3.0907 -2.3087 3.3065
P Au Ag Cl
1 1 1 2
direct
0.0000 0.0000 0.5000 P
0.5000 0.5000 0.5000 Au
0.0000 0.0000 0.0000 Ag
0.0000 0.5000 0.0000 Cl
0.5000 0.0000 0.0000 Cl
```

Values from the calculation:
Its crystal system is tetragonal. Its density of states at the Fermi level is 2.3 states/eV/cell. The formation energy from raw total energies comes out at 0.666 eV/atom.

***

[2]
The following is a DFT calculation (meta-GGA SCAN) of a crystal of ScSi3Br relaxed with PBEsol.

The structure in POSCAR format:
```
ScSi3Br
1.0
5.1196 0.0000 0.0000
0.0000 5.1196 0.0000
0.0000 0.0000 5.1196
Sc Si Br
1 3 1
direct
0.0000 0.0000 0.0000 Sc
0.0000 0.5000 0.0000 Si
0.0000 0.0000 0.5000 Si
0.5000 0.0000 0.0000 Si
0.5000 0.5000 0.5000 Br
```

Values from the calculation:
Its crystal system is cubic. Its density of states at the Fermi level is 4.4 states/eV/cell. The calculation puts the polymorph energy (0 for the lowest one) at 0 meV/atom. The formation energy from raw total energies comes out at 1.039 eV/atom.

***

[3]
The following is a DFT calculation (meta-GGA SCAN) of a crystal of CrRuI2N relaxed with PBEsol.

The structure in POSCAR format:
```
CrRuI2N
1.0
3.4652 0.0000 0.0000
0.0000 5.2215 0.0000
0.0000 0.0000 5.2215
I Ru N Cr
2 1 1 1
direct
0.0000 0.0000 0.5000 I
0.0000 0.5000 0.0000 I
0.5000 0.5000 0.5000 Ru
0.5000 0.0000 0.0000 N
0.0000 0.0000 0.0000 Cr
```

Values from the calculation:
Its crystal system is tetragonal. Its density of states at the Fermi level is 1.2 states/eV/cell. The formation energy from raw total energies comes out at 0.726 eV/atom.